Record 1
Compound: Tb4Tm5Pb2
Source: Alexandria
Functional: PBE
Structure: relaxed

a b c (Å): 15.5463 15.5463 15.5463
angles (deg): 19.51 19.51 19.51
Last column: nearest neighbours and their distance in Å.
Atoms (fractional coordinates):
Tb: 0.0718 0.0718 0.0718  3 Pb 3.27, 5 Tm 3.29-3.59, 3 Tb 3.46
Tb: 0.2255 0.2255 0.2255  3 Tb 3.46, 5 Tm 3.55-3.56
Tb: 0.7745 0.7745 0.7745  3 Tb 3.46, 5 Tm 3.55-3.56
Tb: 0.9282 0.9282 0.9282  3 Pb 3.27, 5 Tm 3.29-3.59, 3 Tb 3.46
Tm: 0.0000 0.0000 0.0000  2 Tb 3.29, 6 Tm 3.34
Tm: 0.1477 0.1477 0.1477  5 Tb 3.47-3.56, 3 Tm 3.50
Tm: 0.3034 0.3034 0.3034  4 Pb 3.12-3.45, 3 Tm 3.34
Tm: 0.6966 0.6966 0.6966  4 Pb 3.12-3.45, 3 Tm 3.34
Tm: 0.8523 0.8523 0.8523  5 Tb 3.47-3.56, 3 Tm 3.50
Pb: 0.3789 0.3789 0.3789  4 Tm 3.12-3.45, 3 Tb 3.27
Pb: 0.6211 0.6211 0.6211  4 Tm 3.12-3.45, 3 Tb 3.27

Computed properties:
SG   R-3m (166)
DFT total energy   -4.178 eV per atom
DFT formation energy   226 kJ/mol of formula units

***

Record 2
Compound: Li2TeMo
Source: Alexandria
Functional: PBE
Structure: relaxed

a b c (Å): 3.2850 4.0258 5.3231
angles (deg): 90.00 90.00 90.00
Last column: nearest neighbours and their distance in Å.
Atoms (fractional coordinates):
Li: 0.0000 0.0000 0.2384  2 Li 2.54-2.79
Li: 0.0000 0.0000 0.7616  2 Li 2.54-2.79
Te: 0.5000 0.5000 0.5000  2 Mo 2.66, 8 Li 2.95
Mo: 0.5000 0.5000 0.0000  2 Te 2.66, 8 Li 2.89

Computed properties:
SG   Pmmm (47)
DFT total energy   -4.245 eV per atom
Energy relative to the elements, uncorrected   0.20 eV per atom

***

Record 3
Compound: TlCd3
Source: Alexandria
Functional: PBE
Structure: relaxed

a b c (Å): 3.3517 5.0388 6.0143
angles (deg): 90.00 90.00 90.00
Last column: nearest neighbours and their distance in Å.
Atoms (fractional coordinates):
Tl: 0.0000 0.0000 0.0000  10 Cd 3.23-3.48, 2 Tl 3.35
Cd: 0.0000 0.5000 0.6484  8 Cd 3.14-3.35, 2 Tl 3.29
Cd: 0.5000 0.0000 0.5080  8 Cd 3.14-3.35, 4 Tl 3.40-3.48
Cd: 0.5000 0.5000 0.1868  6 Cd 3.17-3.35, 4 Tl 3.23

Computed properties:
SG   Pmm2 (25)
DFT total energy   -1.222 eV per atom
DFT formation energy   22 kJ/mol of formula units

***

Record 4
Compound: Zr3Co8Re
Source: Alexandria
Functional: PBE
Structure: relaxed

a b c (Å): 8.4042 8.4042 8.4042
angles (deg): 33.43 33.43 33.43
Last column: nearest neighbours and their distance in Å.
Atoms (fractional coordinates):
Zr: 0.0000 0.0000 0.0000  12 Co 2.84-2.88, 4 Zr 3.03-3.07
Zr: 0.1290 0.1290 0.1290  12 Co 2.72-2.88, 3 Re 2.90
Zr: 0.6168 0.6168 0.6168  12 Co 2.76-3.03, 1 Re 2.89, 3 Zr 3.03
Co: 0.0600 0.0600 0.5615  6 Co 2.39-2.44
Co: 0.0600 0.5615 0.0600  6 Co 2.39-2.44
Co: 0.0649 0.5621 0.5621  6 Co 2.40-2.45
Co: 0.3113 0.3113 0.3113  6 Co 2.44-2.45
Co: 0.5615 0.0600 0.0600  6 Co 2.39-2.44
Co: 0.5621 0.0649 0.5621  6 Co 2.40-2.45
Co: 0.5621 0.5621 0.0649  6 Co 2.40-2.45
Co: 0.8119 0.8119 0.8119  6 Co 2.39-2.41
Re: 0.4955 0.4955 0.4955  12 Co 2.74-2.87, 4 Zr 2.89-2.90

Computed properties:
SG   R3m (160)
DFT total energy   -8.105 eV per atom
DFT formation energy   -224 kJ/mol of formula units

***

Record 5
Compound: ZnInAg
Source: Alexandria
Functional: PBE
Structure: relaxed

a b c (Å): 6.6297 6.6297 6.6297
angles (deg): 153.29 153.29 38.13
Last column: nearest neighbours and their distance in Å.
Atoms (fractional coordinates):
Zn: 0.0000 0.0000 0.0000  4 Ag 2.79, 4 Zn 3.06, 4 In 3.10
In: 0.3235 0.3235 0.0000  4 In 3.06, 4 Zn 3.10, 4 Ag 3.15
Ag: 0.6406 0.6406 0.0000  4 Zn 2.79, 4 Ag 3.06

Computed properties:
SG   I4mm (107)
DFT total energy   -2.224 eV per atom
DFT formation energy   18 kJ/mol of formula units
Energy relative to the lowest polymorph listed for this composition   0.0601 eV/atom

***

Record 6
Compound: FeBr2Cl8
Source: Alexandria
Functional: PBE
Structure: relaxed

a b c (Å): 9.1970 9.1970 6.7868
angles (deg): 93.48 93.48 49.74
Last column: nearest neighbours and their distance in Å.
Atoms (fractional coordinates):
Fe: 0.0000 0.0000 0.0000  4 Cl 2.16-2.17
Br: 0.3414 0.3414 0.3410  1 Cl 2.18
Br: 0.6586 0.6586 0.6590  1 Cl 2.18
Cl: 0.0886 0.0886 0.7809  1 Fe 2.17
Cl: 0.0952 0.0952 0.2322  1 Fe 2.16
Cl: 0.2881 0.2881 0.6256  1 Br 2.18
Cl: 0.4757 0.4757 0.1398  1 Cl 2.11
Cl: 0.5243 0.5243 0.8602  1 Cl 2.11
Cl: 0.7119 0.7119 0.3744  1 Br 2.18
Cl: 0.9048 0.9048 0.7678  1 Fe 2.16
Cl: 0.9114 0.9114 0.2191  1 Fe 2.17

Computed properties:
SG   C2/m (12)
DFT total energy   -2.584 eV per atom
Energy relative to the elements, uncorrected   -0.17 eV per atom

***

Record 7
Compound: Re2TcCl
Source: Alexandria
Functional: PBE
Structure: relaxed

a b c (Å): 2.8102 2.8102 8.9237
angles (deg): 90.00 90.00 118.54
Last column: nearest neighbours and their distance in Å.
Atoms (fractional coordinates):
Re: 0.0000 0.0000 0.0000  8 Re 2.63-2.87, 2 Tc 2.65
Re: 0.5000 0.5000 0.2467  8 Re 2.63-2.87, 2 Cl 2.75
Tc: 0.5000 0.5000 0.7498  2 Cl 2.58, 2 Re 2.65, 6 Tc 2.81-2.87
Cl: 0.0000 0.0000 0.5101  2 Tc 2.58, 2 Re 2.75, 6 Cl 2.81-2.87

Computed properties:
SG   Cmm2 (35)
DFT total energy   -8.643 eV per atom
Energy relative to the elements, uncorrected   0.63 eV per atom
Energy relative to the lowest polymorph listed for this composition   0.3053 eV/atom

***

Record 8
Compound: Pm7Tl2Ge
Source: Alexandria
Functional: PBE
Structure: relaxed

a b c (Å): 7.9090 7.9090 7.9090
angles (deg): 60.00 60.00 60.00
Last column: nearest neighbours and their distance in Å.
Atoms (fractional coordinates):
Pm: 0.0000 0.0000 0.0000  6 Pm 2.84
Pm: 0.2537 0.2537 0.7463  1 Ge 2.75, 1 Pm 2.84
Pm: 0.2537 0.7463 0.2537  1 Ge 2.75, 1 Pm 2.84
Pm: 0.2537 0.7463 0.7463  1 Ge 2.75, 1 Pm 2.84
Pm: 0.7463 0.2537 0.2537  1 Ge 2.75, 1 Pm 2.84
Pm: 0.7463 0.2537 0.7463  1 Ge 2.75, 1 Pm 2.84
Pm: 0.7463 0.7463 0.2537  1 Ge 2.75, 1 Pm 2.84
Tl: 0.2500 0.2500 0.2500  12 Pm 3.95
Tl: 0.7500 0.7500 0.7500  12 Pm 3.95
Ge: 0.5000 0.5000 0.5000  6 Pm 2.75

Computed properties:
SG   Fm-3m (225)
DFT total energy   -4.013 eV per atom
DFT formation energy   238 kJ/mol of formula units

***

Record 9
Compound: CsGa2Si
Source: Alexandria
Functional: PBE
Structure: relaxed

a b c (Å): 5.2746 5.2746 5.2746
angles (deg): 67.76 67.76 67.76
Last column: nearest neighbours and their distance in Å.
Atoms (fractional coordinates):
Cs: 0.0000 0.0000 0.0000  8 Ga 3.43-3.53
Ga: 0.2913 0.2913 0.2913  1 Si 2.53
Ga: 0.7087 0.7087 0.7087  1 Si 2.53
Si: 0.5000 0.5000 0.5000  2 Ga 2.53

Computed properties:
SG   R-3m (166)
DFT total energy   -2.632 eV per atom
Energy relative to the elements, uncorrected   0.45 eV per atom
Energy relative to the lowest polymorph listed for this composition   0.3068 eV/atom

***

Record 10
Compound: HfNi2AgOs
Source: Alexandria
Functional: PBE
Structure: relaxed

a b c (Å): 4.6000 4.6000 4.8389
angles (deg): 90.00 90.00 90.00
Last column: nearest neighbours and their distance in Å.
Atoms (fractional coordinates):
Hf: 0.0000 0.0000 0.0000  2 Os 2.42
Ni: 0.0000 0.5000 0.5000  2 Os 2.30
Ni: 0.5000 0.0000 0.5000  2 Os 2.30
Ag: 0.5000 0.5000 0.0000  4 Hf 3.25, 8 Ni 3.34
Os: 0.0000 0.0000 0.5000  4 Ni 2.30, 2 Hf 2.42

Computed properties:
SG   P4/mmm (123)
DFT total energy   -6.146 eV per atom
DFT formation energy   470 kJ/mol of formula units

***

Q: The lowest DFT total energy belongs to which entry?
A: Re2TcCl

***

Q: Look up the DFT total energy of the seventh one.
A: -8.643 eV per atom

***

Copy entry 3 word for word.
Compound: TlCd3
Source: Alexandria
Functional: PBE
Structure: relaxed

a b c (Å): 3.3517 5.0388 6.0143
angles (deg): 90.00 90.00 90.00
Last column: nearest neighbours and their distance in Å.
Atoms (fractional coordinates):
Tl: 0.0000 0.0000 0.0000  10 Cd 3.23-3.48, 2 Tl 3.35
Cd: 0.0000 0.5000 0.6484  8 Cd 3.14-3.35, 2 Tl 3.29
Cd: 0.5000 0.0000 0.5080  8 Cd 3.14-3.35, 4 Tl 3.40-3.48
Cd: 0.5000 0.5000 0.1868  6 Cd 3.17-3.35, 4 Tl 3.23

Computed properties:
SG   Pmm2 (25)
DFT total energy   -1.222 eV per atom
DFT formation energy   22 kJ/mol of formula units

***

Q: Which of these has the highest DFT total energy?
A: TlCd3